Entry 1:
AlZn3Ni4, optimized geometry, DFT PBE; E = -4.186 eV per atom; N(E_F) = 3.1 states/eV/cell; energy of formation = -0.35 eV/atom; total moment = 0.00 Bohr magnetons per cell
1.0
-0.900 1.666 -2.046
-0.634 -2.235 -1.541
-11.440 -0.143 4.914
Ni Zn Al
4 3 1
Direct
0.000 0.000 0.626
0.000 0.000 0.374
0.000 0.000 0.120
0.000 0.000 0.880
0.500 0.500 0.249
0.500 0.500 0.500
0.500 0.500 0.751
0.500 0.500 0.000

Entry 2:
Mg2TeO6, optimized geometry, DFT PBE; E = -5.497 eV per atom; N(E_F) = 12.2 states/eV/cell; total moment = 4.03 Bohr magnetons per cell
1.0
4.757 0.000 0.000
0.000 4.757 0.000
0.000 0.000 9.363
O Mg Te
12 4 2
Direct
0.713 0.713 0.000
0.192 0.808 0.155
0.308 0.308 0.655
0.192 0.808 0.845
0.213 0.787 0.500
0.808 0.192 0.155
0.692 0.692 0.655
0.287 0.287 0.000
0.692 0.692 0.345
0.787 0.213 0.500
0.808 0.192 0.845
0.308 0.308 0.345
0.000 0.000 0.335
0.000 0.000 0.665
0.500 0.500 0.165
0.500 0.500 0.835
0.500 0.500 0.500
0.000 0.000 0.000